(1)
First-principles (PBE) data for a relaxed HfZnCoSi crystal, as listed in OQMD.

Calculated values
V: 14.171 Å³ per atom
SG: F-43m
distance to the lowest polymorph of the same formula: 0.0 meV per atom

Cell: 4.312 4.312 4.312 Å, 60.00 60.00 60.00°
Fractional positions:
Hf 0.000 0.000 0.000
Zn 0.250 0.250 0.250
Co 0.750 0.750 0.750
Si 0.500 0.500 0.500

---

(2)
First-principles (PBE) data for a relaxed HfZrCoSi2 crystal, as listed in OQMD.

Calculated values
V: 15.757 Å³ per atom
SG: C2/m
energy: -8.177 eV/atom

Cell: 5.293 5.293 9.395 Å, 116.31 116.31 42.92°
Fractional positions:
Hf 0.001 0.001 0.174
Hf 0.999 0.999 0.826
Zr 0.188 0.188 0.601
Zr 0.812 0.812 0.399
Co 0.277 0.277 0.126
Co 0.723 0.723 0.874
Si 0.357 0.357 0.930
Si 0.488 0.488 0.625
Si 0.512 0.512 0.375
Si 0.643 0.643 0.070

---

(3)
First-principles (PBE) data for a relaxed Hf2ZrCo4Si4 crystal, as listed in OQMD.

Calculated values
V: 13.929 Å³ per atom
SG: Immm
energy: -7.970 eV/atom

Cell: 7.337 7.337 7.337 Å, 150.28 127.89 61.14°
Fractional positions:
Hf 0.128 0.128 0.000
Hf 0.872 0.872 0.000
Zr 0.500 0.000 0.500
Co 0.124 0.324 0.800
Co 0.476 0.676 0.800
Co 0.524 0.324 0.200
Co 0.876 0.676 0.200
Si 0.193 0.500 0.693
Si 0.284 0.784 0.500
Si 0.716 0.216 0.500
Si 0.807 0.500 0.307

---

(4)
First-principles (PBE) data for a relaxed SmHfCo crystal, as listed in OQMD.

Calculated values
V: 22.131 Å³ per atom
SG: F-43m
ΔH_f (0 K): 1.115 eV/atom

Cell: 4.545 4.545 4.545 Å, 60.00 60.00 60.00°
Fractional positions:
Sm 0.000 0.000 0.000
Hf 0.250 0.250 0.250
Co 0.750 0.750 0.750

---

(5)
First-principles (PBE) data for a relaxed HfCo2Sn crystal, as listed in OQMD.

Calculated values
V: 15.606 Å³ per atom
SG: F-43m
energy: -6.883 eV/atom

Cell: 4.453 4.453 4.453 Å, 60.00 60.00 60.00°
Fractional positions:
Hf 0.000 0.000 0.000
Co 0.250 0.250 0.250
Co 0.500 0.500 0.500
Sn 0.750 0.750 0.750

---

(6)
First-principles (PBE) data for a relaxed HfCo2Sn crystal, as listed in OQMD.

Calculated values
V: 15.532 Å³ per atom
SG: P6_3/mmc
energy: -7.326 eV/atom

Cell: 4.320 4.320 7.689 Å, 90.00 90.00 120.00°
Fractional positions:
Hf 0.000 0.000 0.000
Hf 0.000 0.000 0.500
Co 0.333 0.667 0.095
Co 0.333 0.667 0.405
Co 0.667 0.333 0.595
Co 0.667 0.333 0.905
Sn 0.333 0.667 0.750
Sn 0.667 0.333 0.250

---

(7)
First-principles (PBE) data for a relaxed HfCo2Sn crystal, as listed in OQMD.

Calculated values
V: 15.262 Å³ per atom
SG: Cmmm
energy: -7.309 eV/atom

Cell: 4.281 4.281 3.331 Å, 90.00 90.00 90.08°
Fractional positions:
Hf 0.000 0.000 0.000
Co 0.000 0.500 0.500
Co 0.500 0.000 0.500
Sn 0.500 0.500 0.000

---

(8)
First-principles (PBE) data for a relaxed HfCo2Sn crystal, as listed in OQMD.

Calculated values
V: 15.631 Å³ per atom
SG: P4/mmm
energy: -7.277 eV/atom

Cell: 3.215 3.215 6.050 Å, 90.00 90.00 90.00°
Fractional positions:
Hf 0.000 0.000 0.000
Co 0.500 0.500 0.242
Co 0.500 0.500 0.758
Sn 0.000 0.000 0.500

---

What did we get for magnetic moment? Answer: 0.01, 0.02, 0.06, 0.00, 0.26, 1.33, 1.19, 1.38 μB per cell, in the order shown.